(1)
A relaxed ScSeBr crystal, computed with PBE-GGA.

Unit cell a=4.8091 b=4.8091 c=4.8091 alpha=60.00 beta=60.00 gamma=60.00
Fractional positions:
Sc  0.0000  0.0000  0.0000
Se  0.2500  0.2500  0.2500
Br  0.5000  0.5000  0.5000

=====

(2)
A relaxed YGe2Pd7Pb2 crystal, computed with PBE-GGA.

Results
ΔH_f (0 K) in eV/f.u.: -5.49

Unit cell a=4.0922 b=4.0922 c=14.1884 alpha=95.80 beta=95.80 gamma=89.35
Fractional positions:
Y  0.0000  0.0000  0.0000
Ge  0.4120  0.4120  0.7477
Ge  0.5880  0.5880  0.2523
Pd  0.0533  0.5528  0.1516
Pd  0.3652  0.3652  0.5719
Pd  0.4472  0.9467  0.8484
Pd  0.5000  0.5000  0.0000
Pd  0.5528  0.0533  0.1516
Pd  0.6348  0.6348  0.4281
Pd  0.9467  0.4472  0.8484
Pb  0.1111  0.1111  0.3786
Pb  0.8889  0.8889  0.6214

=====

(3)
A relaxed KBPb crystal, computed with PBE-GGA.

Results
ΔH_f (0 K) in eV/f.u.: 2.16

Unit cell a=8.3950 b=8.3950 c=5.0091 alpha=90.00 beta=90.00 gamma=151.47
Fractional positions:
K  0.0928  0.9072  0.7500
K  0.9072  0.0928  0.2500
B  0.2647  0.7353  0.2500
B  0.7353  0.2647  0.7500
Pb  0.3194  0.6806  0.7500
Pb  0.6806  0.3194  0.2500

=====

(4)
A relaxed Tb4Dy3Al4 crystal, computed with PBE-GGA.

Results
ΔH_f (0 K) in eV/f.u.: -1.93

Unit cell a=9.5456 b=9.5456 c=9.5456 alpha=148.77 beta=138.78 gamma=52.61
Fractional positions:
Tb  0.0563  0.8203  0.2360
Tb  0.4157  0.1797  0.2360
Tb  0.5843  0.8203  0.7640
Tb  0.9437  0.1797  0.7640
Dy  0.0000  0.5000  0.5000
Dy  0.4017  0.4017  0.0000
Dy  0.5983  0.5983  0.0000
Al  0.1718  0.6718  0.5000
Al  0.2963  0.0000  0.2963
Al  0.7037  0.0000  0.7037
Al  0.8282  0.3282  0.5000

=====

(5)
A relaxed Li2SnHg4Pb crystal, computed with PBE-GGA.

Results
ΔH_f (0 K) in eV/f.u.: -1.09

Unit cell a=8.6862 b=8.6862 c=8.6862 alpha=34.83 beta=34.83 gamma=34.83
Fractional positions:
Li  0.2484  0.2484  0.2484
Li  0.7516  0.7516  0.7516
Sn  0.0000  0.0000  0.0000
Hg  0.1245  0.1245  0.1245
Hg  0.3705  0.3705  0.3705
Hg  0.6295  0.6295  0.6295
Hg  0.8755  0.8755  0.8755
Pb  0.5000  0.5000  0.5000

=====

(6)
A relaxed BeAlH crystal, computed with PBE-GGA.

Unit cell a=3.6654 b=4.2104 c=4.5241 alpha=91.37 beta=90.05 gamma=115.75
Fractional positions:
Be  0.0000  0.0000  0.0000
Be  0.4255  0.8518  0.7457
Al  0.1097  0.2227  0.5030
Al  0.7000  0.4004  0.9812
H  0.3468  0.6880  0.4604
H  0.8821  0.7609  0.2489

=====

(7)
A relaxed AcNdYHo2 crystal, computed with PBE-GGA.

Results
ΔH_f (0 K) in eV/f.u.: 1.88

Unit cell a=9.3671 b=9.3671 c=6.4944 alpha=90.00 beta=90.00 gamma=139.42
Fractional positions:
Ac  0.1585  0.8415  0.7500
Ac  0.8415  0.1585  0.2500
Nd  0.3480  0.6520  0.7500
Nd  0.6520  0.3480  0.2500
Y  0.2488  0.7512  0.2500
Y  0.7512  0.2488  0.7500
Ho  0.2515  0.2515  0.0000
Ho  0.2515  0.2515  0.5000
Ho  0.7485  0.7485  0.0000
Ho  0.7485  0.7485  0.5000

=====

(8)
A relaxed KNaRu2 crystal, computed with PBE-GGA.

Results
ΔH_f (0 K) in eV/f.u.: 5.01

Unit cell a=11.2193 b=11.2193 c=11.2193 alpha=157.07 beta=157.07 gamma=32.65
Fractional positions:
K  0.0000  0.0000  0.0000
K  0.7500  0.2500  0.5000
Na  0.2500  0.7500  0.5000
Na  0.5000  0.5000  0.0000
Ru  0.3117  0.6250  0.1867
Ru  0.3750  0.5617  0.6867
Ru  0.4383  0.1250  0.8133
Ru  0.8750  0.6883  0.3133

=====

(9)
A relaxed TlMo2Pt crystal, computed with PBE-GGA.

Results
ΔH_f (0 K) in eV/f.u.: 3.22

Unit cell a=5.9472 b=5.9472 c=5.9472 alpha=102.21 beta=102.21 gamma=125.24
Fractional positions:
Tl  0.0000  0.0000  0.0000
Tl  0.7500  0.2500  0.5000
Mo  0.1512  0.6250  0.0262
Mo  0.3750  0.4012  0.5262
Mo  0.5988  0.1250  0.9738
Mo  0.8750  0.8488  0.4738
Pt  0.2500  0.7500  0.5000
Pt  0.5000  0.5000  0.0000

=====

(10)
A relaxed CsTl2Pb10 crystal, computed with PBE-GGA.

Results
ΔH_f (0 K) in eV/f.u.: -0.33

Unit cell a=11.6675 b=8.9735 c=8.7857 alpha=82.13 beta=49.63 gamma=48.24
Fractional positions:
Cs  0.0000  0.0000  0.0000
Tl  0.0000  0.5000  0.0000
Tl  0.5000  0.0000  0.5000
Pb  0.0000  0.0000  0.5000
Pb  0.0030  0.6421  0.3579
Pb  0.2723  0.4995  0.5005
Pb  0.3579  0.9970  0.0030
Pb  0.4995  0.2723  0.7277
Pb  0.5000  0.5000  0.0000
Pb  0.5005  0.7277  0.2723
Pb  0.6421  0.0030  0.9970
Pb  0.7277  0.5005  0.4995
Pb  0.9970  0.3579  0.6421

=====

(11)
A relaxed CsPaPO6 crystal, computed with PBE-GGA.

Unit cell a=5.3299 b=5.3299 c=6.6921 alpha=90.00 beta=90.00 gamma=120.00
Fractional positions:
Cs  0.0000  0.0000  0.0000
Pa  0.3333  0.6667  0.5000
P  0.6667  0.3333  0.5000
O  0.4109  0.0618  0.6498
O  0.4109  0.3490  0.3502
O  0.6510  0.0618  0.3502
O  0.6510  0.5891  0.6498
O  0.9382  0.3490  0.6498
O  0.9382  0.5891  0.3502

=====

(12)
A relaxed RbSrAl2 crystal, computed with PBE-GGA.

Results
ΔH_f (0 K) in eV/f.u.: 1.37

Unit cell a=5.7837 b=5.7837 c=5.7837 alpha=60.00 beta=60.00 gamma=60.00
Fractional positions:
Rb  0.0000  0.0000  0.0000
Sr  0.5000  0.5000  0.5000
Al  0.2500  0.2500  0.2500
Al  0.7500  0.7500  0.7500

=====

(13)
A relaxed KCrTcNi2 crystal, computed with PBE-GGA.

Results
ΔH_f (0 K) in eV/f.u.: 5.25

Unit cell a=4.7268 b=4.7268 c=4.5911 alpha=90.00 beta=90.00 gamma=90.00
Fractional positions:
K  0.0000  0.0000  0.0000
Cr  0.5000  0.5000  0.0000
Tc  0.5000  0.5000  0.5000
Ni  0.0000  0.5000  0.5000
Ni  0.5000  0.0000  0.5000

=====

(14)
A relaxed Ce2TiAu crystal, computed with PBE-GGA.

Results
ΔH_f (0 K) in eV/f.u.: -0.52

Unit cell a=3.1183 b=3.1183 c=9.3637 alpha=90.00 beta=90.00 gamma=90.00
Fractional positions:
Ce  0.0000  0.0000  0.2492
Ce  0.0000  0.0000  0.7508
Ti  0.5000  0.5000  0.5000
Au  0.5000  0.5000  0.0000

=====

(15)
A relaxed CsCaSc3 crystal, computed with PBE-GGA.

Results
ΔH_f (0 K) in eV/f.u.: 5.62

Unit cell a=5.4398 b=5.4398 c=5.4398 alpha=90.00 beta=90.00 gamma=90.00
Fractional positions:
Cs  0.0000  0.0000  0.0000
Ca  0.5000  0.5000  0.5000
Sc  0.0000  0.0000  0.5000
Sc  0.0000  0.5000  0.0000
Sc  0.5000  0.0000  0.0000

=====

(16)
A relaxed KNaRu2O6 crystal, computed with PBE-GGA.

Unit cell a=7.9631 b=7.9631 c=7.0742 alpha=95.88 beta=95.88 gamma=117.27
Fractional positions:
K  0.0657  0.9343  0.7500
K  0.9343  0.0657  0.2500
Na  0.3399  0.6601  0.2500
Na  0.6601  0.3399  0.7500
Ru  0.1638  0.4946  0.6284
Ru  0.4946  0.1638  0.1284
Ru  0.5054  0.8362  0.8716
Ru  0.8362  0.5054  0.3716
O  0.0437  0.4557  0.3433
O  0.1325  0.2604  0.6215
O  0.2604  0.1325  0.1215
O  0.3007  0.6079  0.9091
O  0.3921  0.6993  0.5909
O  0.4557  0.0437  0.8433
O  0.5443  0.9563  0.1567
O  0.6079  0.3007  0.4091
O  0.6993  0.3921  0.0909
O  0.7396  0.8675  0.8785
O  0.8675  0.7396  0.3785
O  0.9563  0.5443  0.6567

=====

(17)
A relaxed LiTeAu2Cl crystal, computed with PBE-GGA.

Unit cell a=5.0728 b=5.0728 c=4.1398 alpha=90.00 beta=90.00 gamma=90.00
Fractional positions:
Li  0.0000  0.0000  0.0000
Te  0.5000  0.5000  0.5000
Au  0.0000  0.5000  0.0000
Au  0.5000  0.0000  0.0000
Cl  0.0000  0.0000  0.5000

=====

(18)
A relaxed SnOsPt2 crystal, computed with PBE-GGA.

Results
ΔH_f (0 K) in eV/f.u.: 2.35

Unit cell a=7.8828 b=7.8828 c=7.8828 alpha=141.29 beta=141.29 gamma=55.89
Fractional positions:
Sn  0.0000  0.0000  0.0000
Sn  0.7500  0.2500  0.5000
Os  0.2500  0.7500  0.5000
Os  0.5000  0.5000  0.0000
Pt  0.1671  0.6250  0.0421
Pt  0.3750  0.4171  0.5421
Pt  0.5829  0.1250  0.9579
Pt  0.8750  0.8329  0.4579

=====

(19)
A relaxed Cu2PSe crystal, computed with PBE-GGA.

Unit cell a=2.7644 b=3.2563 c=6.7982 alpha=90.00 beta=90.00 gamma=90.00
Fractional positions:
Cu  0.0000  0.0000  0.2021
Cu  0.0000  0.0000  0.7979
P  0.5000  0.5000  0.0000
Se  0.0000  0.5000  0.5000

=====

(20)
A relaxed Sc2BeSiN crystal, computed with PBE-GGA.

Unit cell a=4.5298 b=4.5298 c=3.3571 alpha=90.00 beta=90.00 gamma=90.00
Fractional positions:
Sc  0.0000  0.5000  0.0000
Sc  0.5000  0.0000  0.0000
Be  0.0000  0.0000  0.5000
Si  0.5000  0.5000  0.5000
N  0.0000  0.0000  0.0000

=====

(21)
A relaxed TbPu2Zn2Si2 crystal, computed with PBE-GGA.

Unit cell a=9.2767 b=9.2767 c=9.2767 alpha=24.96 beta=24.96 gamma=24.96
Fractional positions:
Tb  0.0000  0.0000  0.0000
Pu  0.1507  0.1507  0.1507
Pu  0.8493  0.8493  0.8493
Zn  0.4068  0.4068  0.4068
Zn  0.5932  0.5932  0.5932
Si  0.2579  0.2579  0.2579
Si  0.7421  0.7421  0.7421

=====

(22)
A relaxed KSbPd2Pb crystal, computed with PBE-GGA.

Unit cell a=7.1914 b=4.6558 c=9.4292 alpha=90.00 beta=105.92 gamma=90.00
Fractional positions:
K  0.2391  0.2500  0.2918
K  0.7609  0.7500  0.7082
Sb  0.2571  0.7500  0.6244
Sb  0.7429  0.2500  0.3756
Pd  0.0777  0.2500  0.5885
Pd  0.4151  0.7500  0.9158
Pd  0.5849  0.2500  0.0842
Pd  0.9223  0.7500  0.4115
Pb  0.2000  0.2500  0.9017
Pb  0.8000  0.7500  0.0983

=====

(23)
A relaxed LiSc2Pd3 crystal, computed with PBE-GGA.

Results
ΔH_f (0 K) in eV/f.u.: -4.71

Unit cell a=4.5896 b=4.5896 c=11.0887 alpha=90.00 beta=90.00 gamma=120.00
Fractional positions:
Li  0.3333  0.6667  0.1669
Li  0.6667  0.3333  0.8331
Sc  0.0000  0.0000  0.0000
Sc  0.0000  0.0000  0.5000
Sc  0.3333  0.6667  0.6804
Sc  0.6667  0.3333  0.3196
Pd  0.0000  0.0000  0.2486
Pd  0.0000  0.0000  0.7514
Pd  0.3333  0.6667  0.4188
Pd  0.3333  0.6667  0.9244
Pd  0.6667  0.3333  0.0756
Pd  0.6667  0.3333  0.5812

=====

| no. | energy (eV per atom) | total magnetic moment (μB/atom) |
| --- | --- | --- |
| 1 | -4.48 | 0.00 |
| 2 | -5.41 | 0.00 |
| 3 | -3.11 | 0.00 |
| 4 | -4.48 | 0.00 |
| 5 | -1.73 | 0.00 |
| 6 | -3.38 | 0.00 |
| 7 | -4.52 | 0.00 |
| 8 | -3.99 | 0.00 |
| 9 | -6.71 | 0.00 |
| 10 | -3.31 | 0.00 |
| 11 | -7.33 | 0.09 |
| 12 | -2.19 | 0.00 |
| 13 | -5.48 | 0.35 |
| 14 | -5.89 | 0.00 |
| 15 | -3.25 | 0.00 |
| 16 | -6.24 | 0.20 |
| 17 | -2.66 | 0.00 |
| 18 | -6.24 | 0.00 |
| 19 | -4.11 | 0.00 |
| 20 | -6.93 | 0.00 |
| 21 | -6.94 | 0.00 |
| 22 | -4.18 | 0.00 |
| 23 | -5.81 | 0.00 |